# 1
Here is a geometry-optimized Sc2NbMo2 structure from the Alexandria database. Energies are from PBE.

Output
total DFT energy (no corrections) = -8.3083 eV per atom
mass density = 6609 kg/m3
ΔE to the lowest computed polymorph = 167 kJ/mol of formula units
total magnetization = 0.00 Bohr magnetons per cell

Unit cell a=8.1490 b=8.1490 c=2.8352 alpha=90.00 beta=90.00 gamma=90.00
With the nearest neighbours (Å) after each atom.
Space group P4/mbm (No. 127)
Unique sites:
Sc  0.1195  0.3805  0.0000 x4  6 Mo 2.63-2.94, 3 Sc 2.75-2.84
Nb  0.0000  0.0000  0.0000 x2  2 Nb 2.84
Mo  0.1887  0.6887  0.5000 x4  6 Sc 2.63-2.94, 2 Mo 2.84

# 2
Here is a geometry-optimized SnPb4Se6 structure from the Alexandria database. Energies are from PBE.

Output
total DFT energy (no corrections) = -4.0483 eV per atom
energy relative to the elements, uncorrected = -0.435 eV per atom
mass density = 6110 kg/m3
total magnetization = 0.00 Bohr magnetons per cell

Unit cell a=15.9061 b=7.8981 c=13.9163 alpha=90.00 beta=117.90 gamma=90.00
With the nearest neighbours (Å) after each atom.
Space group Cc (No. 9)
Unique sites:
Sn  0.0000  0.2220  0.0000 x4  4 Se 2.55-2.59
Pb  0.0767  0.1435  0.7714 x4  4 Se 2.88-3.17
Pb  0.2142  0.3953  0.2547 x4  5 Se 2.96-3.23
Pb  0.2708  0.0795  0.5728 x4  3 Se 2.88-2.93
Pb  0.4526  0.1791  0.9055 x4  4 Se 2.97-3.07
Se  0.1167  0.1886  0.3687 x4  4 Pb 2.88-3.14
Se  0.1762  0.2495  0.0414 x4  1 Sn 2.59
Se  0.2500  0.2383  0.7473 x4  4 Pb 2.89-3.02
Se  0.4014  0.2168  0.2973 x4  1 Sn 2.55
Se  0.4360  0.4557  0.0462 x4  1 Sn 2.55
Se  0.4908  0.0225  0.6089 x4  1 Sn 2.57

# 3
Here is a geometry-optimized ZrRe2P structure from the Alexandria database. Energies are from PBE.

Output
total DFT energy (no corrections) = -9.6542 eV per atom
mass density = 12691 kg/m3
total magnetization = 0.00 Bohr magnetons per cell

Unit cell a=2.9382 b=2.9382 c=25.9692 alpha=90.00 beta=90.00 gamma=120.00
With the nearest neighbours (Å) after each atom.
Space group R3m (No. 160, hexagonal axes)
Unique sites:
Zr  0.0000  0.0000  0.0000 x3  3 P 2.86, 6 Zr 2.94, 3 Re 3.01
Re  0.0000  0.0000  0.5114 x3  3 P 2.43
Re  0.0000  0.0000  0.7623 x3  9 Re 2.73-2.94, 3 Zr 3.01
P  0.0000  0.0000  0.2448 x3  3 Re 2.43

# 4
Here is a geometry-optimized SiSnPd2I structure from the Alexandria database. Energies are from PBE.

Output
total DFT energy (no corrections) = -4.0780 eV per atom
energy relative to the elements, uncorrected = 0.194 eV per atom
mass density = 6645 kg/m3
total magnetization = 0.00 Bohr magnetons per cell

Unit cell a=4.6852 b=4.6852 c=5.5390 alpha=90.00 beta=90.00 gamma=90.00
With the nearest neighbours (Å) after each atom.
Space group P4/mmm (No. 123)
Unique sites:
Si  0.0000  0.0000  0.0000 x1  4 Pd 2.34
Sn  0.0000  0.0000  0.5000 x1  2 Si 2.77
Pd  0.0000  0.5000  0.0000 x2  2 Si 2.34
I  0.5000  0.5000  0.5000 x1  4 Sn 3.31, 8 Pd 3.63

# 5
Here is a geometry-optimized BaMnSeN2 structure from the Alexandria database. Energies are from PBE.

Output
total DFT energy (no corrections) = -6.0030 eV per atom
energy relative to the elements, uncorrected = 0.243 eV per atom
mass density = 6002 kg/m3
ΔE to the lowest computed polymorph = 0 kJ/mol of formula units
total magnetization = 0.00 Bohr magnetons per cell

Unit cell a=4.0590 b=4.0590 c=5.0251 alpha=90.00 beta=90.00 gamma=90.00
With the nearest neighbours (Å) after each atom.
Space group P4/mmm (No. 123)
Unique sites:
Ba  0.0000  0.0000  0.0000 x1  4 Se 2.87
Mn  0.5000  0.5000  0.5000 x1  4 N 2.03
Se  0.5000  0.5000  0.0000 x1  2 Mn 2.51
N  0.0000  0.5000  0.5000 x2  2 Mn 2.03

# 6
Here is a geometry-optimized CsYBi3 structure from the Alexandria database. Energies are from PBE.

Output
total DFT energy (no corrections) = -2.6746 eV per atom
mass density = 6271 kg/m3
ΔE to the lowest computed polymorph = 625 kJ/mol of formula units
total magnetization = 0.00 Bohr magnetons per cell

Unit cell a=6.0799 b=6.0799 c=6.0799 alpha=90.00 beta=90.00 gamma=90.00
With the nearest neighbours (Å) after each atom.
Space group Pm-3m (No. 221)
Unique sites:
Cs  0.0000  0.0000  0.0000 x1  6 Bi 3.04
Y  0.5000  0.5000  0.5000 x1  12 Bi 4.30
Bi  0.0000  0.0000  0.5000 x3  2 Cs 3.04